Material: NaTaO3
Method: DFT, PBE
State: relaxed

Summary:
Uncorrected formation energy ... -2525.8 meV/atom

abc: 11.726 7.376 7.376
angles: 120.31 136.87 43.13
Element x y z (fractional)
Na (0.250, 0.425, 0.925)
Na (0.750, 0.575, 0.075)
Na (0.750, 0.127, 0.627)
Na (0.250, 0.873, 0.373)
O (0.449, 0.263, 0.786)
O (0.051, 0.286, 0.763)
O (0.126, 0.831, 0.891)
O (0.374, 0.391, 0.331)
O (0.626, 0.609, 0.669)
O (0.949, 0.714, 0.237)
O (0.225, 0.166, 0.253)
O (0.775, 0.834, 0.747)
O (0.275, 0.753, 0.666)
O (0.725, 0.247, 0.334)
O (0.551, 0.737, 0.214)
O (0.874, 0.169, 0.109)
Ta (0.742, 0.557, 0.555)
Ta (0.242, 0.945, 0.943)
Ta (0.758, 0.055, 0.057)
Ta (0.258, 0.443, 0.445)